A relaxed structure of Ba2CuP. Source: Alexandria via LeMat-Bulk, functional PBE.

```
Ba2CuP
1.0
4.007 0.000 0.000
0.000 3.926 0.013
0.000 3.898 7.965
Ba Cu P
2 1 1
Direct
0.000 0.028 0.971
0.000 0.472 0.529
0.500 0.250 0.250
0.500 0.750 0.750
```

Summary:
The total energy comes out at -0.13804 hartree per atom. The energy relative to the elements is -9.65 kcal/mol of atoms. The space group is Pmmm. For the density of states at the Fermi level, the calculation gives 0.481 states/eV/atom.



A relaxed structure of BaCu12P4. Source: Alexandria via LeMat-Bulk, functional PBE.

```
BaCu12P4
1.0
0.440 5.605 4.717
-3.637 2.136 -6.006
-3.563 -5.583 3.161
Ba Cu P
1 12 4
Direct
0.000 0.000 0.000
0.938 0.281 0.657
0.719 0.343 0.062
0.343 0.624 0.281
0.281 0.343 0.624
0.657 0.376 0.719
0.281 0.657 0.938
0.657 0.938 0.281
0.343 0.062 0.719
0.719 0.657 0.376
0.624 0.281 0.343
0.376 0.719 0.657
0.062 0.719 0.343
0.000 0.500 0.000
0.000 0.000 0.500
0.500 0.000 0.000
0.500 0.500 0.500
```

Summary:
The total energy comes out at -0.15816 hartree per atom. The energy relative to the elements is -0.61 kcal/mol of atoms. The space group is Im-3. For the density of states at the Fermi level, the calculation gives 0.466 states/eV/atom.



A relaxed structure of BaCu6P3. Source: Alexandria via LeMat-Bulk, functional PBE.

```
BaCu6P3
1.0
-2.778 2.896 6.502
0.861 -5.896 2.994
6.334 5.216 0.383
Ba Cu P
2 12 6
Direct
0.500 0.500 0.500
0.000 0.000 0.000
0.228 0.963 0.568
0.936 0.525 0.651
0.470 0.287 0.782
0.530 0.713 0.218
0.064 0.475 0.349
0.772 0.037 0.432
0.272 0.463 0.068
0.564 0.025 0.151
0.030 0.787 0.282
0.970 0.213 0.718
0.436 0.975 0.849
0.728 0.537 0.932
0.957 0.814 0.574
0.500 0.000 0.500
0.043 0.186 0.426
0.543 0.314 0.074
0.000 0.500 0.000
0.457 0.686 0.926
```

Summary:
The total energy comes out at -0.16093 hartree per atom. The energy relative to the elements is -2.45 kcal/mol of atoms. The space group is P2_1/c. For the density of states at the Fermi level, the calculation gives 0.448 states/eV/atom.



A relaxed structure of Ba3Cu2P3. Source: Alexandria via LeMat-Bulk, functional PBE.

```
Ba3Cu2P3
1.0
-3.653 1.943 -1.164
-0.949 -3.470 5.121
3.705 12.409 9.094
Ba Cu P
6 4 6
Direct
0.836 0.672 0.401
0.164 0.328 0.901
0.836 0.672 0.099
0.164 0.328 0.599
0.528 0.056 0.250
0.472 0.944 0.750
0.880 0.761 0.887
0.120 0.239 0.387
0.880 0.761 0.613
0.120 0.239 0.113
0.567 0.134 0.448
0.433 0.866 0.948
0.567 0.134 0.052
0.433 0.866 0.552
0.229 0.457 0.250
0.771 0.543 0.750
```

Summary:
The total energy comes out at -0.16223 hartree per atom. The energy relative to the elements is -14.77 kcal/mol of atoms. The space group is Cmcm. For the density of states at the Fermi level, the calculation gives 0.558 states/eV/atom.



| no. | total magnetization (μB per atom) |
| --- | --- |
| 1 | 0.000 |
| 2 | 0.000 |
| 3 | 0.000 |
| 4 | 0.034 |